No. 1
Zr2NiSe: PBEsol geometry, SCAN.

Properties
SG: I4/mmm, No. 139
DOS at the Fermi energy (states/eV/atom): 0.747
Crystal system: tetragonal
Formation energy without anion corrections (meV/atom): -521
DFT total energy (eV per formula unit): -99.7

Geometry as POSCAR:
```
Zr2NiSe
1.0
-2.1584 2.1584 3.6587
2.1584 -2.1584 3.6587
2.1584 2.1584 -3.6587
Zr Ni Se
2 1 1
Cartesian
2.1584 0.0000 1.8293 Zr
0.0000 2.1584 1.8293 Zr
0.0000 0.0000 0.0000 Ni
0.0000 0.0000 3.6587 Se
```


No. 2
Mo2AsRhCl: PBEsol geometry, SCAN.

Properties
SG: P4/mmm, No. 123
DOS at the Fermi energy (states/eV/atom): 0.535
Crystal system: tetragonal
Formation energy without anion corrections (meV/atom): 1325
DFT total energy (eV per formula unit): -125.1

Geometry as POSCAR:
```
Mo2AsRhCl
1.0
4.8012 0.0000 0.0000
0.0000 4.8012 0.0000
0.0000 0.0000 4.3723
Mo As Rh Cl
2 1 1 1
Cartesian
0.0000 2.4006 0.0000 Mo
2.4006 0.0000 0.0000 Mo
0.0000 0.0000 2.1862 As
2.4006 2.4006 0.0000 Rh
2.4006 2.4006 2.1862 Cl
```


No. 3
Cd3Ag: PBEsol geometry, SCAN.

Properties
SG: P-6m2, No. 187
DOS at the Fermi energy (states/eV/atom): 0.324
Calculated formation energy (eV/atom): -0.026
Crystal system: hexagonal
DFT total energy (eV per formula unit): -122.7

Geometry as POSCAR:
```
Cd3Ag
1.0
3.0636 0.0000 0.0000
-1.5318 2.6531 0.0000
0.0000 0.0000 9.4890
Cd Ag
3 1
Cartesian
0.0000 0.0000 0.0000 Cd
1.5318 0.8844 2.4774 Cd
1.5318 0.8844 7.0117 Cd
0.0000 0.0000 4.7445 Ag
```


No. 4
NbAgF2: PBEsol geometry, SCAN.

Properties
Offset from the most stable computed form (eV per formula unit): 2.66
SG: Fm-3m, No. 225
DOS at the Fermi energy (states/eV/atom): 0.480
Crystal system: cubic
Formation energy without anion corrections (meV/atom): -682
DFT total energy (eV per formula unit): -74.3

Geometry as POSCAR:
```
NbAgF2
1.0
0.0000 2.9800 2.9800
2.9800 0.0000 2.9800
2.9800 2.9800 0.0000
Nb Ag F
1 1 2
Cartesian
0.0000 0.0000 0.0000 Nb
2.9800 2.9800 2.9800 Ag
1.4900 1.4900 1.4900 F
4.4699 4.4699 4.4699 F
```


Please write out number 4 again, unchanged.
NbAgF2: PBEsol geometry, SCAN.

Properties
Offset from the most stable computed form (eV per formula unit): 2.66
SG: Fm-3m, No. 225
DOS at the Fermi energy (states/eV/atom): 0.480
Crystal system: cubic
Formation energy without anion corrections (meV/atom): -682
DFT total energy (eV per formula unit): -74.3

Geometry as POSCAR:
```
NbAgF2
1.0
0.0000 2.9800 2.9800
2.9800 0.0000 2.9800
2.9800 2.9800 0.0000
Nb Ag F
1 1 2
Cartesian
0.0000 0.0000 0.0000 Nb
2.9800 2.9800 2.9800 Ag
1.4900 1.4900 1.4900 F
4.4699 4.4699 4.4699 F
```